# 1
Computed, not measured: an optimized crystal structure of AsH2Br at the PBE level of DFT.

Unit cell a=4.1194 b=4.1194 c=4.1194 alpha=60.00 beta=60.00 gamma=60.00
Closest atoms and distances in Å follow each position.
Element x y z (fractional)
As: 0.0000 0.0000 0.0000  8 H 2.52
H: 0.2500 0.2500 0.2500  4 Br 2.52, 4 As 2.52
H: 0.7500 0.7500 0.7500  4 Br 2.52, 4 As 2.52
Br: 0.5000 0.5000 0.5000  8 H 2.52

Calculated values
- Offset from the most stable computed form: 1.0723 eV per atom

# 2
Computed, not measured: an optimized crystal structure of KTa2Se4 at the PBE level of DFT.

Unit cell a=6.4147 b=6.4147 c=12.7770 alpha=90.00 beta=90.00 gamma=141.38
Closest atoms and distances in Å follow each position.
Element x y z (fractional)
K: 0.1281 0.8719 0.7500  6 Se 3.17-3.19
K: 0.8719 0.1281 0.2500  6 Se 3.17-3.19
Ta: 0.3887 0.6113 0.5547  6 Se 2.55-2.78
Ta: 0.3887 0.6113 0.9453  6 Se 2.55-2.78
Ta: 0.6113 0.3887 0.0547  6 Se 2.55-2.78
Ta: 0.6113 0.3887 0.4453  6 Se 2.55-2.78
Se: 0.0000 0.0000 0.0000  4 Ta 2.61
Se: 0.0000 0.0000 0.5000  4 Ta 2.61
Se: 0.2510 0.7490 0.1025  3 Ta 2.61-2.78
Se: 0.2510 0.7490 0.3975  3 Ta 2.61-2.78
Se: 0.4336 0.5664 0.7500  2 Ta 2.55
Se: 0.5664 0.4336 0.2500  2 Ta 2.55
Se: 0.7490 0.2510 0.6025  3 Ta 2.61-2.78
Se: 0.7490 0.2510 0.8975  3 Ta 2.61-2.78

Calculated values
- Offset from the most stable computed form: 0.2550 eV per atom
- Raw formation energy: -0.666 eV/atom

# 3
Computed, not measured: an optimized crystal structure of RbI at the PBE level of DFT.

Unit cell a=4.4795 b=4.4795 c=4.4795 alpha=90.00 beta=90.00 gamma=90.00
Closest atoms and distances in Å follow each position.
Element x y z (fractional)
Rb: 0.0000 0.0000 0.0000  8 I 3.88
I: 0.5000 0.5000 0.5000  8 Rb 3.88

Calculated values
- Raw formation energy: -1.450 eV/atom

# 4
Computed, not measured: an optimized crystal structure of HfH2F4 at the PBE level of DFT.

Unit cell a=3.3737 b=4.5535 c=7.1616 alpha=74.82 beta=88.12 gamma=89.95
Closest atoms and distances in Å follow each position.
Element x y z (fractional)
Hf: 0.0000 0.0000 0.0000  6 F 1.94-2.09
H: 0.0022 0.5565 0.5302  1 H 0.75
H: 0.9978 0.4435 0.4698  1 H 0.75
F: 0.0128 0.7395 0.8254  1 Hf 1.94
F: 0.4902 0.7809 0.1445  2 Hf 2.09
F: 0.5098 0.2191 0.8555  2 Hf 2.09
F: 0.9872 0.2605 0.1746  1 Hf 1.94

Calculated values
- E: -42.24 eV per cell

How do the records compare in volume? In the order shown, they have 12.36 23.44 44.94 15.16 A^3/atom.